[1]
A plane-wave DFT calculation with PBE-GGA was carried out for an optimized crystal structure of YTc2Mo.

Computed properties:
The calculation puts the formation energy at 0.38 eV per atom.

Lattice parameters (Å, degrees): 3.0963 3.0963 25.9504 90.00 90.00 120.00
Last column: nearest neighbours and their distance in Å.
Space group R-3m (No. 166, hexagonal axes)
Unique sites:
Y 0.0000 0.0000 0.0000 (multiplicity 3)  6 Tc 3.00, 6 Y 3.10
Tc 0.0000 0.0000 0.2404 (multiplicity 6)  3 Mo 2.62
Mo 0.0000 0.0000 0.5000 (multiplicity 3)  6 Tc 2.62



[2]
A plane-wave DFT calculation with PBE-GGA was carried out for an optimized crystal structure of Y2TcMo.

Computed properties:
As for the polymorph energy (0 for the lowest one): 156 kJ/mol of formula units. The calculation puts the formation energy at 0.45 eV per atom.

Lattice parameters (Å, degrees): 6.9951 6.9951 6.9951 90.00 90.00 90.00
Last column: nearest neighbours and their distance in Å.
Space group Fm-3m (No. 225)
Unique sites:
Y 0.2500 0.2500 0.2500 (multiplicity 8)  4 Mo 3.03, 4 Tc 3.03
Tc 0.0000 0.0000 0.0000 (multiplicity 4)  8 Y 3.03
Mo 0.0000 0.0000 0.5000 (multiplicity 4)  8 Y 3.03



[3]
A plane-wave DFT calculation with PBE-GGA was carried out for an optimized crystal structure of YTc2Mo.

Computed properties:
The calculation puts the formation energy at 0.05 eV per atom.

Lattice parameters (Å, degrees): 3.2030 3.2030 6.8961 90.00 90.00 90.00
Last column: nearest neighbours and their distance in Å.
Space group P4/mmm (No. 123)
Unique sites:
Y 0.0000 0.0000 0.0000 (multiplicity 1)  8 Tc 3.01, 4 Y 3.20
Tc 0.5000 0.5000 0.2865 (multiplicity 2)  4 Mo 2.70, 1 Tc 2.94, 4 Y 3.01
Mo 0.0000 0.0000 0.5000 (multiplicity 1)  8 Tc 2.70